First-principles (PBE) data for a relaxed HoHg2 crystal, as listed in Alexandria via LeMat-Bulk.

Summary:
- Fermi-level density of states: 2.63 states/eV per cell
- DFT total energy: -12.8 eV/cell

Cell lengths 5.1549, 5.1549, 6.3197 Å; angles 90.00, 90.00, 120.00 degrees
Space group P6_3/mmc (No. 194)
One atom of each set of equivalent atoms:
1 Ho 0.3333 0.6667 0.2500 [2 per cell]
2 Hg 0.0000 0.0000 0.0000 [2 per cell]
3 Hg 0.3333 0.6667 0.7500 [2 per cell]

***

First-principles (PBE) data for a relaxed ErTm4Th2 crystal, as listed in Alexandria via LeMat-Bulk.

Summary:
- Fermi-level density of states: 10.74 states/eV per cell
- Polymorph energy (0 for the lowest one): 0 meV per atom
- DFT total energy: -36.5 eV/cell

Cell lengths 3.433, 8.494, 8.549 Å; angles 62.37, 89.78, 83.66 degrees
Space group P-1 (No. 2)
One atom of each set of equivalent atoms:
1 Er 0.000 0.000 0.000 [1 per cell]
2 Tm 0.032 0.449 0.717 [2 per cell]
3 Tm 0.397 0.844 0.418 [2 per cell]
4 Th 0.420 0.721 0.868 [2 per cell]

***

First-principles (PBE) data for a relaxed CeTm4Sn4 crystal, as listed in Alexandria via LeMat-Bulk.

Summary:
- Fermi-level density of states: 31.94 states/eV per cell
- DFT total energy: -86.0 eV/cell

Cell lengths 9.881, 9.881, 6.049 Å; angles 90.00, 90.00, 90.00 degrees
Space group P4_2/n (No. 86, origin choice 2)
One atom of each set of equivalent atoms:
1 Ce 0.250 0.250 0.250 [2 per cell]
2 Tm 0.105 0.642 0.145 [8 per cell]
3 Sn 0.045 0.605 0.657 [8 per cell]

***

First-principles (PBE) data for a relaxed TiAl4Ni15 crystal, as listed in Alexandria via LeMat-Bulk.

Summary:
- Fermi-level density of states: 21.35 states/eV per cell
- DFT total energy: -118.5 eV/cell

Cell lengths 3.573, 3.573, 17.861 Å; angles 90.00, 90.00, 90.00 degrees
Space group P4/mmm (No. 123)
One atom of each set of equivalent atoms:
1 Ti 0.000 0.000 0.000 [1 per cell]
2 Al 0.000 0.000 0.202 [2 per cell]
3 Al 0.000 0.000 0.400 [2 per cell]
4 Ni 0.000 0.500 0.101 [4 per cell]
5 Ni 0.000 0.500 0.301 [4 per cell]
6 Ni 0.000 0.500 0.500 [2 per cell]
7 Ni 0.500 0.500 0.000 [1 per cell]
8 Ni 0.500 0.500 0.201 [2 per cell]
9 Ni 0.500 0.500 0.400 [2 per cell]

***

First-principles (PBE) data for a relaxed MgMnCr2 crystal, as listed in Alexandria via LeMat-Bulk.

Summary:
- Fermi-level density of states: 7.99 states/eV per cell
- DFT total energy: -57.5 eV/cell

Cell lengths 2.924, 4.207, 8.374 Å; angles 90.00, 90.00, 90.00 degrees
Space group Cmm2 (No. 35)
One atom of each set of equivalent atoms:
1 Mg 0.000 0.000 0.000 [2 per cell]
2 Mn 0.000 0.500 0.271 [2 per cell]
3 Cr 0.000 0.000 0.494 [2 per cell]
4 Cr 0.000 0.500 0.719 [2 per cell]

***

First-principles (PBE) data for a relaxed KLaBr crystal, as listed in Alexandria via LeMat-Bulk.

Summary:
- Fermi-level density of states: 6.19 states/eV per cell
- Polymorph energy (0 for the lowest one): 83 meV per atom
- DFT total energy: -19.6 eV/cell
- Formation energy without anion corrections: -0.7014 eV per atom

Cell lengths 3.690, 3.690, 16.054 Å; angles 90.00, 90.00, 90.00 degrees
Space group I4mm (No. 107)
One atom of each set of equivalent atoms:
1 K 0.000 0.000 0.000 [2 per cell]
2 La 0.000 0.000 0.724 [2 per cell]
3 Br 0.000 0.000 0.351 [2 per cell]